No. 1
SmDyAgPd: optimized geometry, PBE-GGA.

Spin magnetization   0.0000 μB/atom
Offset from the most stable computed form   0.8 kJ/mol of atoms
Total energy   -4.897 eV per atom
Energy relative to the elements   -0.5555 eV per atom

```
data_SmDyAgPd
_chemical_formula_sum 'Sm4 Dy4 Ag4 Pd4'
_space_group_name_H-M_alt 'F -4 3 m'
_space_group_IT_number 216
_space_group_name_Hall 'F -4 2 3'
_cell_length_a 7.216
_cell_length_b 7.216
_cell_length_c 7.216
_cell_angle_alpha 90.00
_cell_angle_beta 90.00
_cell_angle_gamma 90.00
loop_
_atom_site_label
_atom_site_type_symbol
_atom_site_fract_x
_atom_site_fract_y
_atom_site_fract_z
Sm1 Sm 0.000 0.000 0.000
Dy1 Dy 0.000 0.000 0.500
Ag1 Ag 0.250 0.250 0.250
Pd1 Pd 0.250 0.250 0.750
```

---

No. 2
V2CuTe5: optimized geometry, PBE-GGA.

Spin magnetization   0.3542 μB/atom
Total energy   -4.834 eV per atom
E_form (uncorrected)   -0.079 eV per atom

```
data_V2CuTe5
_chemical_formula_sum 'V8 Cu4 Te20'
_space_group_name_H-M_alt 'C m c m'
_space_group_IT_number 63
_space_group_name_Hall '-C 2c 2'
_cell_length_a 5.367
_cell_length_b 13.585
_cell_length_c 12.599
_cell_angle_alpha 90.00
_cell_angle_beta 90.00
_cell_angle_gamma 90.00
loop_
_atom_site_label
_atom_site_type_symbol
_atom_site_fract_x
_atom_site_fract_y
_atom_site_fract_z
V1 V 0.000 0.152 0.059
Cu1 Cu 0.000 0.199 0.750
Te1 Te 0.000 0.039 0.615
Te2 Te 0.000 0.256 0.250
Te3 Te 0.000 0.313 0.571
```

---

No. 3
SiHgTe2: optimized geometry, PBE-GGA.

Spin magnetization   0.0000 μB/atom
Offset from the most stable computed form   0.3 kJ/mol of atoms
Total energy   -2.941 eV per atom
E_form (uncorrected)   0.061 eV per atom

```
data_SiHgTe2
_chemical_formula_sum 'Si2 Hg2 Te4'
_space_group_name_H-M_alt 'C 1 2/m 1'
_space_group_IT_number 12
_cell_length_a 7.057
_cell_length_b 4.062
_cell_length_c 7.754
_cell_angle_alpha 90.00
_cell_angle_beta 107.09
_cell_angle_gamma 90.00
loop_
_space_group_symop_operation_xyz
'x,y,z'
'-x,-y,-z'
'-x,y,-z'
'x,-y,z'
'x+1/2,y+1/2,z'
'-x+1/2,-y+1/2,-z'
'-x+1/2,y+1/2,-z'
'x+1/2,-y+1/2,z'
loop_
_atom_site_label
_atom_site_type_symbol
_atom_site_fract_x
_atom_site_fract_y
_atom_site_fract_z
Si1 Si 0.000 0.000 0.000
Hg1 Hg 0.000 0.500 0.500
Te1 Te 0.237 0.500 0.214
```

---

No. 4
Hf6TcIr5: optimized geometry, PBE-GGA.

Spin magnetization   0.0000 μB/atom
Total energy   -10.411 eV per atom
Energy relative to the elements   -0.8788 eV per atom

```
data_Hf6TcIr5
_chemical_formula_sum 'Hf12 Tc2 Ir10'
_space_group_name_H-M_alt 'C m m m'
_space_group_IT_number 65
_space_group_name_Hall '-C 2 2'
_cell_length_a 4.628
_cell_length_b 13.873
_cell_length_c 6.551
_cell_angle_alpha 90.00
_cell_angle_beta 90.00
_cell_angle_gamma 90.00
loop_
_atom_site_label
_atom_site_type_symbol
_atom_site_fract_x
_atom_site_fract_y
_atom_site_fract_z
Hf1 Hf 0.000 0.000 0.249
Hf2 Hf 0.000 0.334 0.248
Tc1 Tc 0.000 0.500 0.500
Ir1 Ir 0.000 0.166 0.500
Ir2 Ir 0.000 0.167 0.000
Ir3 Ir 0.000 0.500 0.000
```

---

No. 5
KHgP: optimized geometry, PBE-GGA.

Spin magnetization   0.0000 μB/atom
Total energy   -1.889 eV per atom
Energy relative to the elements   0.3803 eV per atom

```
data_KHgP
_chemical_formula_sum 'K1 Hg1 P1'
_space_group_name_H-M_alt 'P 3 m 1'
_space_group_IT_number 156
_cell_length_a 3.4437
_cell_length_b 3.4437
_cell_length_c 7.6964
_cell_angle_alpha 90.00
_cell_angle_beta 90.00
_cell_angle_gamma 120.00
loop_
_space_group_symop_operation_xyz
'x,y,z'
'-y,x-y,z'
'-x+y,-x,z'
'-y,-x,z'
'-x+y,y,z'
'x,x-y,z'
loop_
_atom_site_label
_atom_site_type_symbol
_atom_site_fract_x
_atom_site_fract_y
_atom_site_fract_z
K1 K 0.0000 0.0000 0.0000
Hg1 Hg 0.3333 0.6667 0.6347
P1 P 0.6667 0.3333 0.3345
```

---

No. 6
Tm3In3Hg2Pb: optimized geometry, PBE-GGA.

Spin magnetization   0.0000 μB/atom
Total energy   -3.125 eV per atom
Energy relative to the elements   -0.2426 eV per atom

```
data_Tm3In3Hg2Pb
_chemical_formula_sum 'Tm3 In3 Hg2 Pb1'
_space_group_name_H-M_alt 'P -6 2 m'
_space_group_IT_number 189
_space_group_name_Hall 'P -6 -2'
_cell_length_a 8.5365
_cell_length_b 8.5365
_cell_length_c 3.7579
_cell_angle_alpha 90.00
_cell_angle_beta 90.00
_cell_angle_gamma 120.00
loop_
_atom_site_label
_atom_site_type_symbol
_atom_site_fract_x
_atom_site_fract_y
_atom_site_fract_z
Tm1 Tm 0.0000 0.6991 0.0000
In1 In 0.0000 0.3842 0.5000
Hg1 Hg 0.3333 0.6667 0.0000
Pb1 Pb 0.0000 0.0000 0.5000
```

---

No. 7
Pa3NiRh2: optimized geometry, PBE-GGA.

Spin magnetization   0.0000 μB/atom
Total energy   -8.687 eV per atom
Energy relative to the elements   -0.5254 eV per atom

```
data_Pa3NiRh2
_chemical_formula_sum 'Pa12 Ni4 Rh8'
_space_group_name_H-M_alt 'C 1 2/c 1'
_space_group_IT_number 15
_cell_length_a 11.993
_cell_length_b 6.141
_cell_length_c 6.916
_cell_angle_alpha 90.00
_cell_angle_beta 107.09
_cell_angle_gamma 90.00
loop_
_space_group_symop_operation_xyz
'x,y,z'
'-x,-y,-z'
'-x,y,-z+1/2'
'x,-y,z+1/2'
'x+1/2,y+1/2,z'
'-x+1/2,-y+1/2,-z'
'-x+1/2,y+1/2,-z+1/2'
'x+1/2,-y+1/2,z+1/2'
loop_
_atom_site_label
_atom_site_type_symbol
_atom_site_fract_x
_atom_site_fract_y
_atom_site_fract_z
Pa1 Pa 0.000 0.129 0.250
Pa2 Pa 0.166 0.398 0.605
Ni1 Ni 0.000 0.367 0.750
Rh1 Rh 0.158 0.116 0.026
```

---

No. 8
BaTmVN3: optimized geometry, PBE-GGA.

Spin magnetization   0.0000 μB/atom
Total energy   -7.728 eV per atom
E_form (uncorrected)   -0.979 eV per atom

```
data_BaTmVN3
_chemical_formula_sum 'Ba4 Tm4 V4 N12'
_space_group_name_H-M_alt 'C 1 2/m 1'
_space_group_IT_number 12
_cell_length_a 13.157
_cell_length_b 3.828
_cell_length_c 7.654
_cell_angle_alpha 90.00
_cell_angle_beta 105.32
_cell_angle_gamma 90.00
loop_
_space_group_symop_operation_xyz
'x,y,z'
'-x,-y,-z'
'-x,y,-z'
'x,-y,z'
'x+1/2,y+1/2,z'
'-x+1/2,-y+1/2,-z'
'-x+1/2,y+1/2,-z'
'x+1/2,-y+1/2,z'
loop_
_atom_site_label
_atom_site_type_symbol
_atom_site_fract_x
_atom_site_fract_y
_atom_site_fract_z
Ba1 Ba 0.143 0.000 0.077
Tm1 Tm 0.156 0.000 0.571
V1 V 0.001 0.500 0.317
N1 N 0.005 0.000 0.327
N2 N 0.145 0.500 0.786
N3 N 0.159 0.500 0.359
```

---

Question: Among the records above, which one has the highest spin magnetization?
Answer: V2CuTe5